Density functional theory data (meta-GGA SCAN) for a PBEsol-optimized structure of AlBi2PbN.

**E_form (uncorrected)**: 214.5 meV/atom
**Volume**: 23.474 Å³/atom
**Crystal system**: tetragonal
**Total energy**: -49.782 eV per atom

abc: 5.713 5.713 3.596
angles: 90.00 90.00 90.00
Space group P4/mmm (No. 123)
Asymmetric unit:
Al 0.000 0.000 0.000
Bi 0.000 0.500 0.500
Pb 0.500 0.500 0.000
N 0.000 0.000 0.500

***

Density functional theory data (meta-GGA SCAN) for a PBEsol-optimized structure of RbAlBi2N.

**E_form (uncorrected)**: 1985.1 meV/atom
**Volume**: 30.592 Å³/atom
**Crystal system**: tetragonal
**Total energy**: -37.003 eV per atom

abc: 6.083 6.083 4.133
angles: 90.00 90.00 90.00
Space group P4/mmm (No. 123)
Asymmetric unit:
Rb 0.000 0.000 0.000
Al 0.500 0.500 0.500
Bi 0.000 0.500 0.000
N 0.000 0.000 0.500

***

Density functional theory data (meta-GGA SCAN) for a PBEsol-optimized structure of AlReBi2N.

**E_form (uncorrected)**: 2154.9 meV/atom
**Volume**: 26.564 Å³/atom
**Crystal system**: tetragonal
**Total energy**: -46.905 eV per atom

abc: 5.343 5.343 4.653
angles: 90.00 90.00 90.00
Space group P4/mmm (No. 123)
Asymmetric unit:
Al 0.000 0.000 0.000
Re 0.000 0.000 0.500
Bi 0.000 0.500 0.000
N 0.500 0.500 0.500

***

Density functional theory data (meta-GGA SCAN) for a PBEsol-optimized structure of AlBiSeN2.

**E_form (uncorrected)**: 560.7 meV/atom
**Volume**: 15.543 Å³/atom
**Crystal system**: tetragonal
**Total energy**: -24.438 eV per atom

abc: 3.926 3.926 5.041
angles: 90.00 90.00 90.00
Space group P4/mmm (No. 123)
Asymmetric unit:
Al 0.000 0.000 0.000
Bi 0.500 0.500 0.500
Se 0.000 0.000 0.500
N 0.000 0.500 0.000

***

Density functional theory data (meta-GGA SCAN) for a PBEsol-optimized structure of NaAlBi2.

**Energy of formation from the pure elements**: -73 meV/atom
**Volume**: 28.461 Å³/atom
**Crystal system**: tetragonal
**Total energy**: -42.354 eV per atom

abc: 8.348 8.348 6.534
angles: 90.00 90.00 90.00
Space group I-42d (No. 122)
Asymmetric unit:
Na 0.000 0.000 0.000
Al 0.000 0.000 0.500
Bi 0.205 0.750 0.625

***

Density functional theory data (meta-GGA SCAN) for a PBEsol-optimized structure of Na2AlBiO.

**E_form (uncorrected)**: 443.1 meV/atom
**Volume**: 37.814 Å³/atom
**Crystal system**: tetragonal
**Total energy**: -19.755 eV per atom

abc: 5.948 5.948 5.343
angles: 90.00 90.00 90.00
Space group P4/mmm (No. 123)
Asymmetric unit:
Na 0.000 0.500 0.000
Al 0.000 0.000 0.500
Bi 0.000 0.000 0.000
O 0.500 0.500 0.500

***

Question: Look up the total energy of the third one.
Answer: -46.905 eV per atom

***

Question: The lowest volume belongs to which entry?
Answer: AlBiSeN2

***

Question: Which formula does entry 6 have?
Answer: Na2AlBiO